Entry 1:
PBE K4VTe4, optimized geometry; space group = I-42m; M_tot = 1.0 μB/f.u.; theoretical density = 2589 kg/m³; crystal system = tetragonal; uncorrected formation energy = -0.727 eV/atom; Fermi-level density of states = 0.652 states/eV per atom; raw total energy = -0.266 Ry/atom
1.0
7.6603 -1.0776 -4.5845
-4.9799 7.4825 0.2705
-0.7172 1.0776 8.8985
K V Te
4 1 4
Direct
0.5000 0.5000 0.0000 K
0.5000 0.0000 0.5000 K
0.0000 0.6939 0.6939 K
0.0000 0.3061 0.3061 K
0.0000 0.0000 0.0000 V
0.6349 0.9281 0.9281 Te
0.0000 0.0719 0.7068 Te
0.3651 0.2932 0.2932 Te
0.0000 0.7068 0.0719 Te

Entry 2:
PBE ReHg, optimized geometry; space group = Fddd; M_tot = 0.0 μB/f.u.; theoretical density = 16692 kg/m³; crystal system = orthorhombic; polymorph energy (0 for the lowest one) = 0.5999 eV/atom; Fermi-level density of states = 0.724 states/eV per atom; raw total energy = -0.396 Ry/atom
1.0
8.0190 0.0000 0.0000
0.0000 14.9098 0.0000
0.0000 0.0000 5.1495
Re Hg
16 16
Direct
0.0000 0.9155 0.0000 Re
0.0000 0.0845 0.0000 Re
0.2500 0.8345 0.2500 Re
0.2500 0.6655 0.2500 Re
0.0000 0.4155 0.5000 Re
0.0000 0.5845 0.5000 Re
0.2500 0.3345 0.7500 Re
0.2500 0.1655 0.7500 Re
0.5000 0.9155 0.5000 Re
0.5000 0.0845 0.5000 Re
0.7500 0.8345 0.7500 Re
0.7500 0.6655 0.7500 Re
0.5000 0.4155 0.0000 Re
0.5000 0.5845 0.0000 Re
0.7500 0.3345 0.2500 Re
0.7500 0.1655 0.2500 Re
0.3325 0.0000 0.0000 Hg
0.6675 0.0000 0.0000 Hg
0.9175 0.7500 0.2500 Hg
0.5825 0.7500 0.2500 Hg
0.3325 0.5000 0.5000 Hg
0.6675 0.5000 0.5000 Hg
0.9175 0.2500 0.7500 Hg
0.5825 0.2500 0.7500 Hg
0.8325 0.0000 0.5000 Hg
0.1675 0.0000 0.5000 Hg
0.4175 0.7500 0.7500 Hg
0.0825 0.7500 0.7500 Hg
0.8325 0.5000 0.0000 Hg
0.1675 0.5000 0.0000 Hg
0.4175 0.2500 0.2500 Hg
0.0825 0.2500 0.2500 Hg

Entry 3:
PBE TcOs, optimized geometry; space group = P4/mmm; M_tot = 0.0 μB/f.u.; theoretical density = 16556 kg/m³; crystal system = tetragonal; polymorph energy (0 for the lowest one) = 0.1353 eV/atom; Fermi-level density of states = 1.192 states/eV per atom; raw total energy = -0.790 Ry/atom
1.0
-1.3812 -0.3198 -2.3348
-0.3838 -2.6396 0.5886
-3.2981 0.8876 1.8295
Os Tc
1 1
Direct
0.5000 0.5000 0.5000 Os
0.0000 0.0000 0.0000 Tc

Entry 4:
PBE PuCdGeAu, optimized geometry; space group = F-43m; M_tot = 5.4 μB/f.u.; theoretical density = 12056 kg/m³; crystal system = cubic; Fermi-level density of states = 2.860 states/eV per atom; raw total energy = -0.447 Ry/atom
1.0
-2.0968 4.0664 1.9125
-4.8361 0.8534 -0.6880
-3.1532 -0.3928 3.8070
Ge Cd Au Pu
1 1 1 1
Direct
0.2500 0.2500 0.2500 Ge
0.5000 0.5000 0.5000 Cd
0.7500 0.7500 0.7500 Au
0.0000 0.0000 0.0000 Pu